# 1
PBE-GGA Tm6Fe23, relaxed; calculated total energy = -7.73 eV per atom; total magnetization = 1.70 μB per atom; DOS(E_F) = 34.32 states/eV/f.u.; density = 9.02 g/cm3; space-group type = No. 225
1.0
0.000 5.957 5.957
5.957 0.000 5.957
5.957 5.957 0.000
Tm Fe
6 23
direct
0.209 0.209 0.791
0.209 0.791 0.209
0.209 0.791 0.791
0.791 0.209 0.209
0.791 0.209 0.791
0.791 0.791 0.209
0.000 0.000 0.500
0.000 0.500 0.000
0.000 0.500 0.500
0.136 0.621 0.621
0.175 0.175 0.175
0.175 0.175 0.475
0.175 0.475 0.175
0.379 0.379 0.379
0.379 0.379 0.864
0.379 0.864 0.379
0.475 0.175 0.175
0.500 0.000 0.000
0.500 0.000 0.500
0.500 0.500 0.000
0.500 0.500 0.500
0.525 0.825 0.825
0.621 0.136 0.621
0.621 0.621 0.136
0.621 0.621 0.621
0.825 0.525 0.825
0.825 0.825 0.525
0.825 0.825 0.825
0.864 0.379 0.379

=====

# 2
PBE-GGA TmFe2, relaxed; calculated total energy = -7.04 eV per atom; total magnetization = 1.60 μB per atom; DOS(E_F) = 2.77 states/eV/f.u.; density = 9.28 g/cm3; space-group type = No. 139
1.0
3.205 0.000 0.000
0.000 3.205 0.000
0.000 0.000 9.778
Tm Fe
2 4
direct
0.000 0.000 0.000
0.500 0.500 0.500
0.000 0.000 0.303
0.000 0.000 0.697
0.500 0.500 0.197
0.500 0.500 0.803

=====

# 3
PBE-GGA Tm3UFe4, relaxed; calculated total energy = -7.39 eV per atom; total magnetization = 0.24 μB per atom; DOS(E_F) = 8.55 states/eV/f.u.; density = 10.81 g/cm3; space-group type = No. 44
1.0
5.351 0.000 0.000
0.000 7.100 0.000
0.000 0.000 7.833
Tm U Fe
6 2 8
direct
0.000 0.000 0.000
0.000 0.251 0.630
0.000 0.749 0.630
0.500 0.249 0.130
0.500 0.500 0.500
0.500 0.751 0.130
0.000 0.500 0.062
0.500 0.000 0.562
0.000 0.309 0.280
0.000 0.691 0.280
0.226 0.000 0.340
0.274 0.500 0.840
0.500 0.191 0.780
0.500 0.809 0.780
0.726 0.500 0.840
0.774 0.000 0.340

=====

# 4
PBE-GGA Tm2U2Fe3, relaxed; calculated total energy = -8.14 eV per atom; total magnetization = 0.00 μB per atom; DOS(E_F) = 7.98 states/eV/f.u.; density = 11.90 g/cm3; space-group type = No. 2
1.0
4.141 0.000 0.000
-1.116 4.271 0.000
-1.065 -1.749 7.745
Tm U Fe
2 2 3
direct
0.242 0.178 0.389
0.758 0.822 0.611
0.221 0.585 0.873
0.779 0.415 0.127
0.000 0.000 0.000
0.439 0.215 0.781
0.561 0.785 0.219

=====

# 5
PBE-GGA Tm3UFe3, relaxed; calculated total energy = -7.27 eV per atom; total magnetization = 0.00 μB per atom; DOS(E_F) = 4.73 states/eV/f.u.; density = 10.43 g/cm3; space-group type = No. 12
1.0
3.708 -5.972 0.000
3.708 5.972 0.000
-2.273 0.000 6.563
Tm U Fe
6 2 6
direct
0.210 0.790 0.000
0.258 0.742 0.500
0.342 0.342 0.111
0.658 0.658 0.889
0.742 0.258 0.500
0.790 0.210 0.000
0.219 0.219 0.496
0.781 0.781 0.504
0.004 0.004 0.782
0.185 0.415 0.755
0.415 0.185 0.755
0.585 0.815 0.245
0.815 0.585 0.245
0.996 0.996 0.218

=====

# 6
PBE-GGA TmU2Fe9, relaxed; calculated total energy = -8.69 eV per atom; total magnetization = 1.06 μB per atom; DOS(E_F) = 14.83 states/eV/f.u.; density = 11.09 g/cm3; space-group type = No. 166
1.0
2.457 1.419 8.218
-2.457 1.419 8.218
0.000 -2.837 8.218
Tm U Fe
1 2 9
direct
0.000 0.000 0.000
0.147 0.147 0.147
0.853 0.853 0.853
0.082 0.581 0.581
0.333 0.333 0.333
0.419 0.419 0.918
0.419 0.918 0.419
0.500 0.500 0.500
0.581 0.082 0.581
0.581 0.581 0.082
0.667 0.667 0.667
0.918 0.419 0.419

=====

# 7
PBE-GGA TmUFe4, relaxed; calculated total energy = -8.16 eV per atom; total magnetization = 0.81 μB per atom; DOS(E_F) = 4.62 states/eV/f.u.; density = 11.11 g/cm3; space-group type = No. 12
1.0
6.768 -3.016 0.000
6.768 3.016 0.000
-1.577 0.000 4.616
Tm U Fe
2 2 8
direct
0.199 0.199 0.140
0.801 0.801 0.860
0.426 0.426 0.210
0.574 0.574 0.790
0.090 0.706 0.451
0.197 0.803 0.000
0.294 0.910 0.549
0.329 0.329 0.707
0.671 0.671 0.293
0.706 0.090 0.451
0.803 0.197 0.000
0.910 0.294 0.549

=====

# 8
PBE-GGA Tm3U2Fe4, relaxed; calculated total energy = -7.96 eV per atom; total magnetization = 0.00 μB per atom; DOS(E_F) = 8.41 states/eV/f.u.; density = 11.63 g/cm3; space-group type = No. 12
1.0
5.346 -1.980 0.000
5.346 1.980 0.000
-1.835 0.000 8.135
Tm U Fe
3 2 4
direct
0.000 0.000 0.000
0.376 0.376 0.620
0.624 0.624 0.380
0.323 0.323 0.222
0.677 0.677 0.778
0.093 0.093 0.644
0.269 0.269 0.909
0.731 0.731 0.091
0.907 0.907 0.356

=====

# 9
PBE-GGA TmUFe3, relaxed; calculated total energy = -8.30 eV per atom; total magnetization = 0.24 μB per atom; DOS(E_F) = 4.71 states/eV/f.u.; density = 11.60 g/cm3; space-group type = No. 63
1.0
2.934 -5.217 0.000
2.934 5.217 0.000
0.000 0.000 5.375
Tm U Fe
2 2 6
direct
0.082 0.918 0.750
0.918 0.082 0.250
0.278 0.722 0.250
0.722 0.278 0.750
0.134 0.444 0.750
0.444 0.134 0.250
0.500 0.500 0.000
0.500 0.500 0.500
0.556 0.866 0.750
0.866 0.556 0.250

=====

# 10
PBE-GGA TmUFe4, relaxed; calculated total energy = -8.32 eV per atom; total magnetization = 0.76 μB per atom; DOS(E_F) = 11.28 states/eV/f.u.; density = 11.52 g/cm3; space-group type = No. 216
1.0
0.000 3.569 3.569
3.569 0.000 3.569
3.569 3.569 0.000
Tm U Fe
1 1 4
direct
0.000 0.000 0.000
0.750 0.750 0.750
0.375 0.375 0.375
0.375 0.375 0.875
0.375 0.875 0.375
0.875 0.375 0.375

=====

# 11
PBE-GGA Tm3U2Fe6, relaxed; calculated total energy = -8.02 eV per atom; total magnetization = 0.30 μB per atom; DOS(E_F) = 9.65 states/eV/f.u.; density = 11.74 g/cm3; space-group type = No. 229
1.0
-4.534 4.534 4.534
4.534 -4.534 4.534
4.534 4.534 -4.534
Tm U Fe
6 4 12
direct
0.000 0.292 0.292
0.000 0.708 0.708
0.292 0.000 0.292
0.292 0.292 0.000
0.708 0.000 0.708
0.708 0.708 0.000
0.000 0.000 0.500
0.000 0.500 0.000
0.500 0.000 0.000
0.500 0.500 0.500
0.000 0.337 0.663
0.000 0.663 0.337
0.325 0.663 0.663
0.337 0.000 0.663
0.337 0.337 0.675
0.337 0.663 0.000
0.337 0.675 0.337
0.663 0.000 0.337
0.663 0.325 0.663
0.663 0.337 0.000
0.663 0.663 0.325
0.675 0.337 0.337

=====

# 12
PBE-GGA TmV2Fe9, relaxed; calculated total energy = -8.30 eV per atom; total magnetization = 1.10 μB per atom; DOS(E_F) = 14.81 states/eV/f.u.; density = 8.24 g/cm3; space-group type = No. 166
1.0
2.406 1.389 7.768
-2.406 1.389 7.768
0.000 -2.778 7.768
Tm V Fe
1 2 9
direct
0.000 0.000 0.000
0.145 0.145 0.145
0.855 0.855 0.855
0.083 0.590 0.590
0.333 0.333 0.333
0.410 0.410 0.917
0.410 0.917 0.410
0.500 0.500 0.500
0.590 0.083 0.590
0.590 0.590 0.083
0.667 0.667 0.667
0.917 0.410 0.410